Density functional theory data (PBE) for an optimized crystal structure of Tm4Tl2Pb.

- ρ (g/cm³) = 11.0
- calculated formation energy (eV/atom) = -0.228
- offset from the most stable computed form (meV/atom) = 0
- total magnetic moment (μB per cell) = 0.000
- space-group type = P2_1/m (11)

abc: 5.6461 6.5992 10.7659
angles: 90.00 102.52 90.00
Last column: nearest neighbours and their distance in Å.
Positions (direct):
Tm  0.1116  0.2500  0.1389  3 Tl 3.08-3.21, 3 Pb 3.20-3.31
Tm  0.2462  0.7500  0.4451  1 Pb 2.98, 4 Tl 3.06-3.31
Tm  0.3362  0.0052  0.7325  3 Tl 3.22-3.50, 5 Tm 3.23-3.56, 2 Pb 3.30-3.57
Tm  0.3362  0.4948  0.7325  3 Tl 3.22-3.50, 5 Tm 3.23-3.56, 2 Pb 3.30-3.57
Tm  0.6638  0.5052  0.2675  3 Tl 3.22-3.50, 5 Tm 3.23-3.56, 2 Pb 3.30-3.57
Tm  0.6638  0.9948  0.2675  3 Tl 3.22-3.50, 5 Tm 3.23-3.56, 2 Pb 3.30-3.57
Tm  0.7538  0.2500  0.5549  1 Pb 2.98, 4 Tl 3.06-3.31
Tm  0.8884  0.7500  0.8611  3 Tl 3.08-3.21, 3 Pb 3.20-3.31
Tl  0.2092  0.2500  0.4374  5 Tm 3.06-3.31
Tl  0.4560  0.7500  0.9932  1 Pb 3.03, 6 Tm 3.08-3.35, 2 Tl 3.34
Tl  0.5440  0.2500  0.0068  1 Pb 3.03, 6 Tm 3.08-3.35, 2 Tl 3.34
Tl  0.7908  0.7500  0.5626  5 Tm 3.06-3.31
Pb  0.0915  0.7500  0.1623  6 Tm 2.98-3.31, 1 Tl 3.03
Pb  0.9085  0.2500  0.8377  6 Tm 2.98-3.31, 1 Tl 3.03